{
  "formula": "CsThHSe3",
  "functional": "GGA-PBE",
  "state": "relaxed",
  "dft_energy_ev_per_cell": -58.65,
  "magnetic_moment_mub_per_cell": 0.0,
  "lattice_angstrom": [[4.457, 0.000, 0.000], [-2.228, 8.285, 0.000], [0.000, 0.000, 10.355]],
  "species": ["H", "H", "Cs", "Cs", "Se", "Se", "Se", "Se", "Se", "Se", "Th", "Th"],
  "fractional_positions": [[0.398, 0.797, 0.750], [0.602, 0.203, 0.250], [0.737, 0.474, 0.750], [0.263, 0.526, 0.250], [0.610, 0.219, 0.078], [0.390, 0.781, 0.578], [0.069, 0.137, 0.750], [0.931, 0.863, 0.250], [0.390, 0.781, 0.922], [0.610, 0.219, 0.422], [0.000, 0.000, 0.500], [0.000, 0.000, 0.000]]
}